First-principles (PBE with a Hubbard U) data for an optimized crystal structure of LiZn2Fe4O8, as listed in Alexandria via LeMat-Bulk.

Unit cell a=6.205 b=6.205 c=6.205 alpha=120.79 beta=120.74 gamma=88.68
Each line ends with the local moment (μB).
Positions (direct):
Zn 0.376 0.612 0.236  0.03
Zn 0.376 0.139 0.764  0.03
O 0.621 0.837 0.216  0.24
O 0.621 0.404 0.784  0.24
O 0.121 0.845 0.725  0.23
O 0.615 0.872 0.743  0.25
O 0.121 0.396 0.275  0.23
O 0.146 0.384 0.762  0.12
O 0.622 0.384 0.238  0.12
O 0.128 0.872 0.257  0.25
Fe 0.880 0.646 0.234  4.33
Fe 0.411 0.646 0.766  4.33
Fe 0.000 0.000 0.000  4.31
Fe 0.720 0.220 0.500  3.78
Li 0.966 0.466 0.500  -0.01

Properties
V = 11.130 A^3/atom
ΔE to the lowest computed polymorph = 61 meV/atom
symmetry = Imm2
magnetic moment = 19.0 μB/cell